Entry from Alexandria: a relaxed UI3Cl crystal (PBE).

CIF file:
```
data_UI3Cl
_symmetry_space_group_name_H-M 'P 1 21/m 1'
_symmetry_Int_Tables_number 11
_cell_length_a 4.460
_cell_length_b 11.870
_cell_length_c 9.509
_cell_angle_alpha 90.00
_cell_angle_beta 103.31
_cell_angle_gamma 90.00
loop_
_symmetry_equiv_pos_as_xyz
'x,y,z'
'-x,-y,-z'
'-x,y+1/2,-z'
'x,-y+1/2,z'
loop_
_atom_site_label
_atom_site_type_symbol
_atom_site_fract_x
_atom_site_fract_y
_atom_site_fract_z
U1 U 0.122 0.250 0.242
I1 I 0.037 0.750 0.073
I2 I 0.378 0.570 0.758
Cl1 Cl 0.258 0.250 0.512
```

Entry from Alexandria: a relaxed U2I4Cl5 crystal (PBE).

CIF file:
```
data_U2I4Cl5
_symmetry_space_group_name_H-M 'P 1 2/m 1'
_symmetry_Int_Tables_number 10
_cell_length_a 7.588
_cell_length_b 4.826
_cell_length_c 12.719
_cell_angle_alpha 90.00
_cell_angle_beta 98.43
_cell_angle_gamma 90.00
loop_
_symmetry_equiv_pos_as_xyz
'x,y,z'
'-x,-y,-z'
'-x,y,-z'
'x,-y,z'
loop_
_atom_site_label
_atom_site_type_symbol
_atom_site_fract_x
_atom_site_fract_y
_atom_site_fract_z
U1 U 0.003 0.000 0.280
I1 I 0.155 0.500 0.163
I2 I 0.232 0.500 0.669
Cl1 Cl 0.000 0.000 0.500
Cl2 Cl 0.220 0.000 0.885
Cl3 Cl 0.327 0.000 0.360
```

Entry from Alexandria: a relaxed U2ICl8 crystal (PBE).

CIF file:
```
data_U2ICl8
_symmetry_space_group_name_H-M 'C 1 2/m 1'
_symmetry_Int_Tables_number 12
_cell_length_a 8.374
_cell_length_b 12.106
_cell_length_c 9.380
_cell_angle_alpha 90.00
_cell_angle_beta 95.83
_cell_angle_gamma 90.00
loop_
_symmetry_equiv_pos_as_xyz
'x,y,z'
'-x,-y,-z'
'-x,y,-z'
'x,-y,z'
'x+1/2,y+1/2,z'
'-x+1/2,-y+1/2,-z'
'-x+1/2,y+1/2,-z'
'x+1/2,-y+1/2,z'
loop_
_atom_site_label
_atom_site_type_symbol
_atom_site_fract_x
_atom_site_fract_y
_atom_site_fract_z
U1 U 0.124 0.000 0.202
I1 I 0.000 0.000 0.500
Cl1 Cl 0.087 0.500 0.707
Cl2 Cl 0.115 0.205 0.203
Cl3 Cl 0.183 0.000 0.926
```

Entry from Alexandria: a relaxed UI3Cl2 crystal (PBE).

CIF file:
```
data_UI3Cl2
_symmetry_space_group_name_H-M 'C 1 2/c 1'
_symmetry_Int_Tables_number 15
_cell_length_a 12.892
_cell_length_b 9.795
_cell_length_c 9.580
_cell_angle_alpha 90.00
_cell_angle_beta 108.66
_cell_angle_gamma 90.00
loop_
_symmetry_equiv_pos_as_xyz
'x,y,z'
'-x,-y,-z'
'-x,y,-z+1/2'
'x,-y,z+1/2'
'x+1/2,y+1/2,z'
'-x+1/2,-y+1/2,-z'
'-x+1/2,y+1/2,-z+1/2'
'x+1/2,-y+1/2,z+1/2'
loop_
_atom_site_label
_atom_site_type_symbol
_atom_site_fract_x
_atom_site_fract_y
_atom_site_fract_z
U1 U 0.000 0.098 0.250
I1 I 0.000 0.395 0.250
I2 I 0.002 0.175 0.936
Cl1 Cl 0.202 0.088 0.338
```

Entry from Alexandria: a relaxed UI3Cl crystal (PBE).

CIF file:
```
data_UI3Cl
_symmetry_space_group_name_H-M 'C 1 2/m 1'
_symmetry_Int_Tables_number 12
_cell_length_a 15.308
_cell_length_b 8.636
_cell_length_c 10.454
_cell_angle_alpha 90.00
_cell_angle_beta 133.03
_cell_angle_gamma 90.00
loop_
_symmetry_equiv_pos_as_xyz
'x,y,z'
'-x,-y,-z'
'-x,y,-z'
'x,-y,z'
'x+1/2,y+1/2,z'
'-x+1/2,-y+1/2,-z'
'-x+1/2,y+1/2,-z'
'x+1/2,-y+1/2,z'
loop_
_atom_site_label
_atom_site_type_symbol
_atom_site_fract_x
_atom_site_fract_y
_atom_site_fract_z
U1 U 0.250 0.250 0.000
I1 I 0.052 0.000 0.803
I2 I 0.250 0.250 0.278
Cl1 Cl 0.103 0.500 0.853
```

Entry from Alexandria: a relaxed UI2Cl2 crystal (PBE).

CIF file:
```
data_UI2Cl2
_symmetry_space_group_name_H-M 'C 1 2/m 1'
_symmetry_Int_Tables_number 12
_cell_length_a 9.714
_cell_length_b 10.487
_cell_length_c 4.460
_cell_angle_alpha 90.00
_cell_angle_beta 90.08
_cell_angle_gamma 90.00
loop_
_symmetry_equiv_pos_as_xyz
'x,y,z'
'-x,-y,-z'
'-x,y,-z'
'x,-y,z'
'x+1/2,y+1/2,z'
'-x+1/2,-y+1/2,-z'
'-x+1/2,y+1/2,-z'
'x+1/2,-y+1/2,z'
loop_
_atom_site_label
_atom_site_type_symbol
_atom_site_fract_x
_atom_site_fract_y
_atom_site_fract_z
U1 U 0.000 0.000 0.000
I1 I 0.220 0.000 0.501
Cl1 Cl 0.000 0.239 0.000
```

Entry from Alexandria: a relaxed VICl3 crystal (PBE).

CIF file:
```
data_VICl3
_symmetry_space_group_name_H-M 'P 1 21/m 1'
_symmetry_Int_Tables_number 11
_cell_length_a 6.105
_cell_length_b 8.482
_cell_length_c 8.066
_cell_angle_alpha 90.00
_cell_angle_beta 90.69
_cell_angle_gamma 90.00
loop_
_symmetry_equiv_pos_as_xyz
'x,y,z'
'-x,-y,-z'
'-x,y+1/2,-z'
'x,-y+1/2,z'
loop_
_atom_site_label
_atom_site_type_symbol
_atom_site_fract_x
_atom_site_fract_y
_atom_site_fract_z
V1 V 0.229 0.250 0.238
I1 I 0.475 0.250 0.488
Cl1 Cl 0.030 0.042 0.247
Cl2 Cl 0.430 0.250 0.021
```

Entry from Alexandria: a relaxed VI2Cl crystal (PBE).

CIF file:
```
data_VI2Cl
_symmetry_space_group_name_H-M 'F m -3 m'
_symmetry_Int_Tables_number 225
_symmetry_space_group_name_Hall '-F 4 2 3'
_cell_length_a 7.317
_cell_length_b 7.317
_cell_length_c 7.317
_cell_angle_alpha 90.00
_cell_angle_beta 90.00
_cell_angle_gamma 90.00
loop_
_atom_site_label
_atom_site_type_symbol
_atom_site_fract_x
_atom_site_fract_y
_atom_site_fract_z
V1 V 0.000 0.000 0.000
I1 I 0.250 0.250 0.250
Cl1 Cl 0.000 0.000 0.500
```

Computed formation energy without anion corrections (eV per atom) in order:
-1.016; -1.170; -1.548; -1.067; -1.014; -1.239; -0.957; 0.154